# 1
Here is a relaxed structure of CaScGa2 from the Alexandria database. Energies are from PBE.

Cell and atoms, written as CIF:
```
data_CaScGa2
_chemical_formula_sum 'Ca1 Sc1 Ga2'
_cell_length_a 3.4925
_cell_length_b 3.4925
_cell_length_c 7.0857
_cell_angle_alpha 90.00
_cell_angle_beta 90.00
_cell_angle_gamma 90.00
_space_group_name_H-M_alt 'P 1'
_space_group_IT_number 1
loop_
_space_group_symop_operation_xyz
'x,y,z'
loop_
_atom_site_label
_atom_site_fract_x
_atom_site_fract_y
_atom_site_fract_z
Ca1 0.5000 0.5000 0.5000
Ga1 0.0000 0.0000 0.7792
Ga2 0.0000 0.0000 0.2208
Sc1 0.5000 0.5000 0.0000
```

Calculated values
The energy of formation comes out at -0.5143 eV/atom. As for the volume: 86.4 Å³ per cell. The value obtained for the magnetic moment is 0.0 μB per formula unit. The calculation puts the density of states at the Fermi level at 0.466 states/eV/atom. The value obtained for the total energy is -4.111 eV per atom.

# 2
Here is a relaxed structure of CaSc2Ga from the Alexandria database. Energies are from PBE.

Cell and atoms, written as CIF:
```
data_CaSc2Ga
_chemical_formula_sum 'Ca1 Sc2 Ga1'
_cell_length_a 3.3801
_cell_length_b 3.3801
_cell_length_c 8.8551
_cell_angle_alpha 90.00
_cell_angle_beta 90.00
_cell_angle_gamma 90.00
_space_group_name_H-M_alt 'P 1'
_space_group_IT_number 1
loop_
_space_group_symop_operation_xyz
'x,y,z'
loop_
_atom_site_label
_atom_site_fract_x
_atom_site_fract_y
_atom_site_fract_z
Ga1 0.5000 0.5000 0.0000
Sc1 0.0000 0.0000 0.1865
Sc2 0.0000 0.0000 0.8135
Ca1 0.5000 0.5000 0.5000
```

Calculated values
The energy of formation comes out at -0.1971 eV/atom. As for the volume: 101.2 Å³ per cell. The value obtained for the magnetic moment is 0.0 μB per formula unit. The calculation puts the density of states at the Fermi level at 1.047 states/eV/atom. The value obtained for the total energy is -4.620 eV per atom.

# 3
Here is a relaxed structure of Ca2ScGa4 from the Alexandria database. Energies are from PBE.

Cell and atoms, written as CIF:
```
data_Ca2ScGa4
_chemical_formula_sum 'Ca2 Sc1 Ga4'
_cell_length_a 5.1174
_cell_length_b 5.1174
_cell_length_c 8.6073
_cell_angle_alpha 72.71
_cell_angle_beta 72.71
_cell_angle_gamma 90.00
_space_group_name_H-M_alt 'P 1'
_space_group_IT_number 1
loop_
_space_group_symop_operation_xyz
'x,y,z'
loop_
_atom_site_label
_atom_site_fract_x
_atom_site_fract_y
_atom_site_fract_z
Ca1 0.6245 0.6245 0.7511
Ca2 0.3755 0.3755 0.2489
Ga1 0.0000 0.5000 0.0000
Ga2 0.1750 0.1750 0.6501
Ga3 0.5000 0.0000 0.0000
Ga4 0.8250 0.8250 0.3499
Sc1 0.0000 0.0000 0.0000
```

Calculated values
The energy of formation comes out at 0.0104 eV/atom. As for the volume: 204.5 Å³ per cell. The value obtained for the magnetic moment is 1.0 μB per formula unit. The calculation puts the density of states at the Fermi level at 1.144 states/eV/atom. The value obtained for the total energy is -3.196 eV per atom.

> Which value of energy of formation does entry 3 give?

0.0104 eV/atom

> magnetic moment of number 2 (CaSc2Ga)?

0.0 μB per formula unit

> Which value of magnetic moment does entry 2 give?

0.0 μB per formula unit